Entry a
Crystalline LiTmHgSe3 at its relaxed geometry. Source: OQMD, functional GGA-PBE.

Structure (extended XYZ):
```
12
Lattice="-2.341 10.174 3.707 -6.418 -0.540 -2.571 4.107 -1.055 5.488" Properties=species:S:1:pos:R:3 pbc="T T T"
Hg -3.253 6.850 3.977
Hg -1.400 1.729 2.647
Li -4.490 1.880 0.280
Li -0.163 6.699 6.344
Se -7.088 7.037 1.042
Se -3.970 4.931 2.361
Se -4.879 8.883 3.801
Se 0.226 -0.304 2.824
Se -0.683 3.648 4.263
Se 2.434 1.542 5.583
Tm 0.000 0.000 0.000
Tm -1.171 5.087 1.854
```

Entry b
Crystalline LiTmHgSe3 at its relaxed geometry. Source: OQMD, functional GGA-PBE.

Structure (extended XYZ):
```
24
Lattice="-4.396 9.428 -5.436 -0.083 -2.032 -3.457 -11.999 -4.055 2.670" Properties=species:S:1:pos:R:3 pbc="T T T"
Hg -4.026 1.807 -0.966
Hg -6.765 5.337 -5.301
Hg -9.672 -0.980 0.807
Hg -12.411 2.550 -3.528
Li -1.470 -0.297 0.210
Li -6.930 2.313 -3.520
Li -9.506 2.044 -0.974
Li -14.967 4.654 -4.704
Se -4.594 6.772 -6.197
Se -2.675 3.684 -2.101
Se -3.397 -0.733 -1.814
Se -5.983 4.852 -2.708
Se -9.260 5.913 -5.580
Se -6.762 1.584 -0.769
Se -9.674 2.773 -3.725
Se -7.177 -1.556 1.086
Se -10.453 -0.495 -1.786
Se -13.040 5.090 -2.680
Se -13.762 0.673 -2.393
Se -11.843 -2.415 1.702
Tm -3.674 6.133 -3.517
Tm -6.110 -1.149 -1.505
Tm -10.327 5.506 -2.989
Tm -12.763 -1.776 -0.978
```

Which structure loses on stability? entry a does.

Entry a
Crystalline LiSmHg at its relaxed geometry. Source: OQMD, functional GGA-PBE.

Structure (extended XYZ):
```
3
Lattice="0.000 3.486 3.486 3.486 0.000 3.486 3.486 3.486 0.000" Properties=species:S:1:pos:R:3 pbc="T T T"
Hg 0.000 0.000 0.000
Li 1.743 1.743 1.743
Sm 5.229 5.229 5.229
```

Entry b
Crystalline LiSmHg at its relaxed geometry. Source: OQMD, functional GGA-PBE.

Structure (extended XYZ):
```
12
Lattice="-0.889 -1.555 -6.460 2.968 -3.832 0.514 -6.642 -4.866 2.086" Properties=species:S:1:pos:R:3 pbc="T T T"
Hg 1.024 -4.408 -4.116
Hg -0.736 -5.246 -0.194
Hg -3.827 -5.006 -3.666
Hg -5.588 -5.844 0.256
Li 1.419 -3.729 -1.326
Li -1.251 -6.136 -3.857
Li -3.312 -4.116 -0.003
Li -5.982 -6.524 -2.534
Sm -1.624 -3.591 -5.842
Sm -1.540 -3.078 -2.498
Sm -3.023 -7.174 -1.362
Sm -2.939 -6.662 1.981
```

Which structure loses on stability? entry a does.

Entry a
Crystalline LiYHgTe3 at its relaxed geometry. Source: OQMD, functional GGA-PBE.

Structure (extended XYZ):
```
24
Lattice="-1.592 -2.373 3.239 11.827 -3.625 3.156 1.059 10.793 8.427" Properties=species:S:1:pos:R:3 pbc="T T T"
Hg 2.440 -0.328 5.278
Hg 9.191 -0.539 5.561
Hg 2.104 5.334 9.261
Hg 8.855 5.123 9.544
Li -0.958 -0.570 3.431
Li 6.036 1.711 5.660
Li 5.259 3.084 9.163
Li 12.253 5.365 11.391
Te 9.792 -2.989 4.062
Te 3.876 -2.516 4.381
Te 1.420 1.341 3.120
Te 6.592 -1.099 6.754
Te 10.959 0.668 7.314
Te 3.474 1.621 7.214
Te 7.821 3.174 7.608
Te 0.336 4.127 7.508
Te 4.703 5.894 8.069
Te 9.875 3.454 11.702
Te 7.419 7.311 10.442
Te 1.502 7.784 10.760
Y 6.870 -3.585 5.069
Y 2.155 3.517 5.075
Y 9.140 1.278 9.747
Y 4.425 8.380 9.754
```

Entry b
Crystalline LiYHgTe3 at its relaxed geometry. Source: OQMD, functional GGA-PBE.

Structure (extended XYZ):
```
12
Lattice="-3.774 1.081 1.785 -5.278 -0.645 -5.561 -1.764 -11.043 2.956" Properties=species:S:1:pos:R:3 pbc="T T T"
Hg -7.468 -2.817 -3.666
Hg -3.349 -7.790 2.846
Li -4.470 -2.969 -2.444
Li -6.346 -7.638 1.625
Te -6.298 -0.442 -2.629
Te -4.919 -1.926 1.184
Te -6.963 -4.607 -1.514
Te -3.853 -6.000 0.695
Te -5.897 -8.681 -2.004
Te -4.519 -10.166 1.810
Y 0.000 0.000 0.000
Y -0.882 -5.521 1.478
```

Which structure loses on stability? entry a does.

Entry a
Crystalline LiTmHg at its relaxed geometry. Source: OQMD, functional GGA-PBE.

Structure (extended XYZ):
```
3
Lattice="0.000 3.407 3.407 3.407 0.000 3.407 3.407 3.407 0.000" Properties=species:S:1:pos:R:3 pbc="T T T"
Hg 0.000 0.000 0.000
Li 1.704 1.704 1.704
Tm 5.111 5.111 5.111
```

Entry b
Crystalline LiTmHg at its relaxed geometry. Source: OQMD, functional GGA-PBE.

Structure (extended XYZ):
```
3
Lattice="-3.435 -1.245 3.179 -4.674 0.510 -1.162 -2.737 -3.914 -0.802" Properties=species:S:1:pos:R:3 pbc="T T T"
Hg -2.711 -1.162 0.304
Li -8.134 -3.487 0.912
Tm 0.000 0.000 0.000
```

Which structure loses on stability? entry b does.

Entry a
Crystalline LiUHg at its relaxed geometry. Source: OQMD, functional GGA-PBE.

Structure (extended XYZ):
```
3
Lattice="3.548 -0.282 3.350 -0.924 -1.967 4.378 1.908 -4.343 1.180" Properties=species:S:1:pos:R:3 pbc="T T T"
Hg 0.000 0.000 0.000
Li 1.133 -1.648 2.227
U 3.399 -4.944 6.681
```

Entry b
Crystalline LiUHg at its relaxed geometry. Source: OQMD, functional GGA-PBE.

Structure (extended XYZ):
```
3
Lattice="4.476 1.605 1.331 0.446 3.432 3.522 1.847 -1.218 4.414" Properties=species:S:1:pos:R:3 pbc="T T T"
Hg 1.692 0.955 2.317
Li 5.077 2.864 6.951
U 0.000 0.000 0.000
```

Which structure loses on stability? entry b does.

Entry a
Crystalline Li2YHg at its relaxed geometry. Source: OQMD, functional GGA-PBE.

Structure (extended XYZ):
```
4
Lattice="3.947 0.000 0.000 0.000 3.947 0.000 0.000 0.000 5.642" Properties=species:S:1:pos:R:3 pbc="T T T"
Hg 1.974 1.974 0.000
Li 0.000 0.000 0.000
Li 1.974 1.974 2.821
Y 0.000 0.000 2.821
```

Entry b
Crystalline Li2YHg at its relaxed geometry. Source: OQMD, functional GGA-PBE.

Structure (extended XYZ):
```
4
Lattice="2.973 -3.278 -2.187 -1.485 -4.671 -0.587 -1.087 -1.697 -4.506" Properties=species:S:1:pos:R:3 pbc="T T T"
Hg 0.100 -2.412 -1.820
Li 0.000 0.000 0.000
Li 0.301 -7.235 -5.460
Y 0.200 -4.823 -3.640
```

Which structure loses on stability? entry a does.